VASP calculation (PBE) on a geometry-optimized K2YH structure.

abc: 7.8524 7.8524 10.4070
angles: 90.00 90.00 90.00
Space group I-42d (No. 122)
One atom of each set of equivalent atoms:
K1 0.0809 0.2500 0.1250
Y1 0.0000 0.0000 0.5000
H1 0.0000 0.0000 0.0000

Values from the calculation:
Its raw total energy is -39.07 eV for the cell shown. The calculation puts the energy above the most stable polymorph in this dataset at 0 meV/atom.

=====

VASP calculation (PBE) on a geometry-optimized KZn2H6 structure.

abc: 13.6989 3.5812 5.8827
angles: 90.00 113.81 90.00
Space group C2/m (No. 12)
One atom of each set of equivalent atoms:
K1 0.0000 0.0000 0.0000
Zn1 0.2460 0.5000 0.1594
H1 0.0305 0.0000 0.5380
H2 0.1476 0.5000 0.2416
H3 0.1972 0.5000 0.8169

Values from the calculation:
Its raw total energy is -45.73 eV for the cell shown.